DFT (PBE-GGA) results for a relaxed Be3NbRh4 crystal.

abc: 4.0982 4.0982 5.9060
angles: 90.00 90.00 90.00
Closest atoms and distances in Å follow each position.
Fractional coordinates of all 8 atoms:
1 Be 0.0000 0.0000 0.0000  8 Rh 2.47
2 Be 0.0000 0.0000 0.5000  8 Rh 2.59, 4 Nb 2.90
3 Be 0.5000 0.5000 0.0000  8 Rh 2.47
4 Nb 0.5000 0.5000 0.5000  8 Rh 2.59, 4 Be 2.90
5 Rh 0.0000 0.5000 0.2321  6 Be 2.47-2.59, 2 Nb 2.59, 1 Rh 2.74
6 Rh 0.0000 0.5000 0.7679  6 Be 2.47-2.59, 2 Nb 2.59, 1 Rh 2.74
7 Rh 0.5000 0.0000 0.2321  6 Be 2.47-2.59, 2 Nb 2.59, 1 Rh 2.74
8 Rh 0.5000 0.0000 0.7679  6 Be 2.47-2.59, 2 Nb 2.59, 1 Rh 2.74

Properties
As for the size of the total moment: 0.000 μB per atom. The calculation puts the formation enthalpy at 0 K at -0.604 eV per atom. As for the space-group type: No. 123.